Entry from Alexandria: crystalline Mn3VAg at its relaxed geometry (PBE).

a b c (Å): 4.437 4.437 4.437
angles (deg): 90.00 90.00 90.00
Positions (direct):
Mn1 0.000 0.500 0.000
Mn2 0.000 0.000 0.500
Mn3 0.500 0.000 0.000
Ag1 0.500 0.500 0.500
V1 0.000 0.000 0.000

- E above lowest polymorph (meV/atom) = 0

Entry from Alexandria: crystalline MnVAg at its relaxed geometry (PBE).

a b c (Å): 2.672 4.651 7.780
angles (deg): 90.00 90.00 106.69
Positions (direct):
Mn1 0.462 0.924 0.000
Mn2 0.734 0.468 0.500
V1 0.734 0.469 0.853
V2 0.734 0.469 0.147
Ag1 0.001 0.002 0.320
Ag2 0.001 0.002 0.680

Entry from Alexandria: crystalline MnV2Ag at its relaxed geometry (PBE).

a b c (Å): 4.356 4.356 4.356
angles (deg): 60.00 60.00 60.00
Positions (direct):
Mn1 0.000 0.000 0.000
Ag1 0.500 0.500 0.500
V1 0.250 0.250 0.250
V2 0.750 0.750 0.750

- E above lowest polymorph (meV/atom) = 0

Entry from Alexandria: crystalline MnV2Ag at its relaxed geometry (PBE).

a b c (Å): 6.703 6.703 5.417
angles (deg): 51.78 51.78 90.00
Positions (direct):
Mn1 0.500 0.500 0.000
Mn2 0.250 0.750 0.500
Ag1 0.000 0.000 0.000
Ag2 0.750 0.250 0.500
V1 0.583 0.125 0.250
V2 0.167 0.625 0.250
V3 0.375 0.417 0.750
V4 0.875 0.833 0.750

- E above lowest polymorph (meV/atom) = 277

Entry from Alexandria: crystalline MnV3Ag at its relaxed geometry (PBE).

a b c (Å): 4.321 4.321 4.321
angles (deg): 90.00 90.00 90.00
Positions (direct):
Mn1 0.000 0.000 0.000
Ag1 0.500 0.500 0.500
V1 0.000 0.500 0.000
V2 0.000 0.000 0.500
V3 0.500 0.000 0.000

Entry from Alexandria: crystalline MnV2Ag2 at its relaxed geometry (PBE).

a b c (Å): 7.328 7.328 3.223
angles (deg): 90.00 90.00 90.00
Positions (direct):
Mn1 0.000 0.000 0.000
Mn2 0.500 0.500 0.000
Ag1 0.365 0.865 0.000
Ag2 0.865 0.635 0.000
Ag3 0.635 0.135 0.000
Ag4 0.135 0.365 0.000
V1 0.164 0.664 0.500
V2 0.664 0.836 0.500
V3 0.836 0.336 0.500
V4 0.336 0.164 0.500

- E above lowest polymorph (meV/atom) = 107

Entry from Alexandria: crystalline MnV2Ag2 at its relaxed geometry (PBE).

a b c (Å): 3.332 3.332 7.909
angles (deg): 77.84 77.84 90.00
Positions (direct):
Mn1 0.000 0.000 0.000
Ag1 0.403 0.403 0.194
Ag2 0.597 0.597 0.806
V1 0.750 0.250 0.500
V2 0.250 0.750 0.500

- E above lowest polymorph (meV/atom) = 0

Entry from Alexandria: crystalline Mn2VAg at its relaxed geometry (PBE).

a b c (Å): 4.371 4.371 4.371
angles (deg): 60.00 60.00 60.00
Positions (direct):
Mn1 0.250 0.250 0.250
Mn2 0.750 0.750 0.750
Ag1 0.500 0.500 0.500
V1 0.000 0.000 0.000

- E above lowest polymorph (meV/atom) = 0

Entry from Alexandria: crystalline Mn2V2Ag at its relaxed geometry (PBE).

a b c (Å): 6.995 6.995 2.842
angles (deg): 90.00 90.00 90.00
Positions (direct):
Mn1 0.362 0.862 0.000
Mn2 0.862 0.638 0.000
Mn3 0.638 0.138 0.000
Mn4 0.138 0.362 0.000
Ag1 0.000 0.000 0.000
Ag2 0.500 0.500 0.000
V1 0.156 0.656 0.500
V2 0.656 0.844 0.500
V3 0.844 0.344 0.500
V4 0.344 0.156 0.500

Entry from Alexandria: crystalline Mn2VAg at its relaxed geometry (PBE).

a b c (Å): 3.716 3.716 9.027
angles (deg): 78.12 78.12 90.00
Positions (direct):
Mn1 0.535 0.125 0.250
Mn2 0.215 0.625 0.250
Mn3 0.375 0.465 0.750
Mn4 0.875 0.785 0.750
Ag1 0.000 0.000 0.000
Ag2 0.750 0.250 0.500
V1 0.500 0.500 0.000
V2 0.250 0.750 0.500

- E above lowest polymorph (meV/atom) = 634

Entry from Alexandria: crystalline Y2MnVAg at its relaxed geometry (PBE).

a b c (Å): 5.406 4.034 5.406
angles (deg): 90.00 90.00 90.00
Positions (direct):
Y1 0.000 0.000 0.500
Y2 0.500 0.000 0.000
Mn1 0.000 0.500 0.000
Ag1 0.500 0.500 0.500
V1 0.000 0.000 0.000

Entry from Alexandria: crystalline Mn2Ag2W at its relaxed geometry (PBE).

a b c (Å): 6.523 6.523 6.523
angles (deg): 147.60 147.60 46.48
Positions (direct):
Mn1 0.584 0.584 0.000
Mn2 0.416 0.416 0.000
Ag1 0.250 0.750 0.500
Ag2 0.750 0.250 0.500
W1 0.000 0.000 0.000

Entry from Alexandria: crystalline MnAg2W at its relaxed geometry (PBE).

a b c (Å): 5.298 5.298 5.298
angles (deg): 146.63 126.84 64.23
Positions (direct):
Ag1 0.007 0.007 0.000
Ag2 0.731 0.231 0.500
Mn1 0.474 0.474 0.000
W1 0.288 0.788 0.500

- E above lowest polymorph (meV/atom) = 286

Entry from Alexandria: crystalline Mn3AgW at its relaxed geometry (PBE).

a b c (Å): 4.625 4.625 4.625
angles (deg): 90.00 90.00 90.00
Positions (direct):
Mn1 0.000 0.500 0.000
Mn2 0.000 0.000 0.500
Mn3 0.500 0.000 0.000
Ag1 0.500 0.500 0.500
W1 0.000 0.000 0.000

- E above lowest polymorph (meV/atom) = 0

Entry from Alexandria: crystalline MnAg2W at its relaxed geometry (PBE).

a b c (Å): 7.363 7.363 5.829
angles (deg): 50.83 50.83 90.00
Positions (direct):
Mn1 0.500 0.500 0.000
Mn2 0.250 0.750 0.500
Ag1 0.614 0.125 0.250
Ag2 0.136 0.625 0.250
Ag3 0.375 0.386 0.750
Ag4 0.875 0.864 0.750
W1 0.000 0.000 0.000
W2 0.750 0.250 0.500

- E above lowest polymorph (meV/atom) = 792

Entry from Alexandria: crystalline MnAg2W at its relaxed geometry (PBE).

a b c (Å): 4.938 4.938 2.770
angles (deg): 90.00 90.00 90.00
Positions (direct):
Ag1 0.000 0.000 0.000
Ag2 0.500 0.500 0.000
Mn1 0.500 0.000 0.500
W1 0.000 0.500 0.500

- E above lowest polymorph (meV/atom) = 421

Entry from Alexandria: crystalline MnAg2W at its relaxed geometry (PBE).

a b c (Å): 2.766 2.766 8.502
angles (deg): 90.00 90.00 90.00
Positions (direct):
Ag1 0.000 0.000 0.996
Ag2 0.500 0.500 0.262
Mn1 0.000 0.000 0.508
W1 0.500 0.500 0.734

- E above lowest polymorph (meV/atom) = 20

Entry from Alexandria: crystalline MnAg2W at its relaxed geometry (PBE).

a b c (Å): 4.506 4.506 4.506
angles (deg): 60.00 60.00 60.00
Positions (direct):
Ag1 0.000 0.000 0.000
Ag2 0.750 0.750 0.750
Mn1 0.500 0.500 0.500
W1 0.250 0.250 0.250

- E above lowest polymorph (meV/atom) = 373

Entry from Alexandria: crystalline MnAg2W at its relaxed geometry (PBE).

a b c (Å): 4.746 2.697 5.135
angles (deg): 79.06 90.00 90.00
Positions (direct):
Ag1 0.000 0.061 0.006
Ag2 0.000 0.439 0.494
Mn1 0.500 0.250 0.250
W1 0.500 0.750 0.750

- E above lowest polymorph (meV/atom) = 238

Entry from Alexandria: crystalline MnAg2W at its relaxed geometry (PBE).

a b c (Å): 9.706 9.706 9.706
angles (deg): 16.68 16.68 16.68
Positions (direct):
Ag1 0.998 0.998 0.998
Ag2 0.502 0.502 0.502
Mn1 0.250 0.250 0.250
W1 0.750 0.750 0.750

- E above lowest polymorph (meV/atom) = 198

So what do the calculations give for DOS(E_F)? Going down the list: 3.93; 3.09; 5.15; 6.21; 6.63; 6.54; 5.04; 3.02; 5.54; 4.67; 7.98; 4.25; 2.22; 5.49; 2.94; 3.35; 2.92; 3.56; 1.87; 3.68 states/eV/f.u..
So what do the calculations give for energy of formation? Going down the list: 0.946; 0.464; 0.380; 0.657; 0.770; 0.686; 0.579; 0.239; 0.218; 0.873; 0.600; 0.881; 0.630; 1.352; 1.136; 0.765; 0.364; 0.717; 0.582; 0.542 eV per atom.
So what do the calculations give for electronic total energy? Going down the list: -34.8; -19.7; -28.7; -27.6; -35.5; -29.7; -30.2; -29.4; -38.3; -26.8; -31.1; -32.6; -25.3; -36.6; -23.3; -24.8; -26.4; -25.0; -25.5; -25.7 eV per formula unit.